SrCoSbAs2 (PBE, optimized geometry); magnetization = 0.00 μB/cell; space-group type = P4/mmm; formation energy without anion corrections = -0.4 eV/f.u.
1.0
4.595 0.000 0.000
0.000 4.595 0.000
0.000 0.000 5.548
Sr Co Sb As
1 1 1 2
Direct
0.000 0.000 0.000 Sr
0.000 0.000 0.500 Co
0.500 0.500 0.000 Sb
0.000 0.500 0.500 As
0.500 0.000 0.500 As



SmSiHRh (PBE, optimized geometry); magnetization = 0.00 μB/cell; space-group type = P4/nmm; E = -6.139 eV per atom
1.0
4.047 0.000 0.000
0.000 4.047 0.000
0.000 0.000 7.530
Sm Si H Rh
2 2 2 2
Direct
0.250 0.250 0.158 Sm
0.750 0.750 0.842 Sm
0.250 0.250 0.672 Si
0.750 0.750 0.328 Si
0.250 0.750 0.000 H
0.750 0.250 0.000 H
0.250 0.750 0.500 Rh
0.750 0.250 0.500 Rh